No. 1
This record from the Alexandria database describes a geometry-optimized CsHg2S2 structure. The functional is PBE.

Values from the calculation:
The value obtained for the formation energy (no corrections) is -0.37 eV/atom. Its density of states at the Fermi level is 6.74 states/eV/cell. Its energy above the lowest structure with this stoichiometry is 0.000 eV/atom.

Lattice parameters (Å, degrees): 7.8935 7.8935 10.9125 132.62 60.15 138.77
Positions (direct):
Hg: 0.7256 0.7873 0.6007
Hg: 0.8134 0.3751 0.1007
Hg: 0.2744 0.2127 0.3993
Hg: 0.1866 0.6249 0.8993
Cs: 0.2946 0.0446 0.7500
Cs: 0.7054 0.9554 0.2500
S: 0.0647 0.7274 0.3743
S: 0.9353 0.2726 0.6257
S: 0.6468 0.8095 0.8743
S: 0.3532 0.1905 0.1257

No. 2
This record from the Alexandria database describes a geometry-optimized Cs2HgS2 structure. The functional is PBE.

Values from the calculation:
The value obtained for the formation energy (no corrections) is -0.26 eV/atom. Its density of states at the Fermi level is 2.31 states/eV/cell. Its energy above the lowest structure with this stoichiometry is 0.595 eV/atom.

Lattice parameters (Å, degrees): 4.0600 4.0600 11.7657 80.06 80.06 90.00
Positions (direct):
S: 0.2500 0.7500 0.5000
S: 0.7500 0.2500 0.5000
Hg: 0.0000 0.0000 0.0000
Cs: 0.3649 0.3649 0.2702
Cs: 0.6351 0.6351 0.7298

No. 3
This record from the Alexandria database describes a geometry-optimized Cs2Hg2S3 structure. The functional is PBE.

Values from the calculation:
The value obtained for the formation energy (no corrections) is -0.61 eV/atom.

Lattice parameters (Å, degrees): 4.3730 8.9452 7.8839 126.03 106.10 90.00
Positions (direct):
Hg: 0.7989 0.6998 0.5978
Hg: 0.2011 0.3002 0.4022
S: 0.1847 0.6081 0.3694
S: 0.8153 0.3919 0.6306
S: 0.0000 0.0000 0.0000
Cs: 0.5530 0.7749 0.1059
Cs: 0.4470 0.2251 0.8941

No. 4
This record from the Alexandria database describes a geometry-optimized Cs3HgS3 structure. The functional is PBE.

Values from the calculation:
The value obtained for the formation energy (no corrections) is -0.73 eV/atom. Its density of states at the Fermi level is 16.44 states/eV/cell. Its energy above the lowest structure with this stoichiometry is 0.000 eV/atom.

Lattice parameters (Å, degrees): 7.2062 10.0094 10.0094 120.00 90.00 90.00
Site moments in Bohr magnetons follow the coordinates.
Positions (direct):
S: 0.7500 0.3079 0.4091  0.19
S: 0.2500 0.8988 0.3079  0.19
S: 0.2500 0.4091 0.1012  0.19
S: 0.7500 0.5909 0.8988  0.19
S: 0.7500 0.1012 0.6921  0.19
S: 0.2500 0.6921 0.5909  0.19
Cs: 0.2500 0.0820 0.7156  0.01
Cs: 0.2500 0.2844 0.3664  0.01
Cs: 0.2500 0.6336 0.9180  0.01
Cs: 0.7500 0.7156 0.6336  0.01
Cs: 0.7500 0.9180 0.2844  0.01
Cs: 0.7500 0.3664 0.0820  0.01
Hg: 0.7500 0.3333 0.6667  0.07
Hg: 0.2500 0.6667 0.3333  0.07

No. 5
This record from the Alexandria database describes a geometry-optimized Cs3HgS2 structure. The functional is PBE.

Values from the calculation:
The value obtained for the formation energy (no corrections) is -0.73 eV/atom. Its density of states at the Fermi level is 4.33 states/eV/cell.

Lattice parameters (Å, degrees): 7.9830 8.9286 9.7009 117.40 114.30 90.00
Site moments in Bohr magnetons follow the coordinates.
Positions (direct):
Hg: 0.0000 0.5000 0.0000  0.15
Hg: 0.0000 0.0000 0.0000  0.15
Cs: 0.7705 0.5205 0.5410  0.01
Cs: 0.5000 0.2500 0.0000  0.00
Cs: 0.2295 0.4795 0.4590  0.01
Cs: 0.7705 0.0205 0.5410  0.01
Cs: 0.2295 0.9795 0.4590  0.01
Cs: 0.5000 0.7500 0.0000  0.00
S: 0.3865 0.6266 0.2531  0.19
S: 0.1334 0.8734 0.7469  0.19
S: 0.6135 0.3734 0.7469  0.19
S: 0.8666 0.1266 0.2531  0.19

No. 6
This record from the Alexandria database describes a geometry-optimized Cs3HgS3 structure. The functional is PBE.

Values from the calculation:
The value obtained for the formation energy (no corrections) is -0.68 eV/atom. Its density of states at the Fermi level is 6.66 states/eV/cell. Its energy above the lowest structure with this stoichiometry is 0.050 eV/atom.

Lattice parameters (Å, degrees): 5.9692 8.3133 8.3133 114.46 103.85 103.85
Site moments in Bohr magnetons follow the coordinates.
Positions (direct):
Cs: 0.0301 0.0000 0.5258  0.01
Cs: 0.5043 0.4742 0.4742  0.01
Cs: 0.0301 0.5258 0.0000  0.01
S: 0.1470 0.6956 0.6956  0.19
S: 0.4514 0.0000 0.3044  0.19
S: 0.4514 0.3044 0.0000  0.19
Hg: 0.3608 0.0000 0.0000  0.07

no.,VASP energy (eV/atom)
1,-2.314
2,-2.308
3,-2.705
4,-2.905
5,-2.578
6,-2.855